(1)
Below is a geometry-optimized UTlNi structure, with properties calculated at the GGA-PBE level.

Summary:
mass density: 12.6 g/cm³

a b c (Å): 4.5378 4.5378 4.5378
angles (deg): 60.00 60.00 60.00
Closest atoms and distances in Å follow each position.
Fractional positions:
Tl 0.7500 0.7500 0.7500  4 Ni 2.78
U 0.2500 0.2500 0.2500  4 Ni 2.78
Ni 0.0000 0.0000 0.0000  4 Tl 2.78, 4 U 2.78



(2)
Below is a geometry-optimized UTlNi structure, with properties calculated at the GGA-PBE level.

Summary:
mass density: 10.7 g/cm³

a b c (Å): 4.7860 4.7860 4.7860
angles (deg): 60.00 60.00 60.00
Closest atoms and distances in Å follow each position.
Fractional positions:
Tl 0.7500 0.7500 0.7500  4 U 2.93
U 0.0000 0.0000 0.0000  4 Ni 2.93, 4 Tl 2.93
Ni 0.2500 0.2500 0.2500  4 U 2.93



(3)
Below is a geometry-optimized Y6TlNi2 structure, with properties calculated at the GGA-PBE level.

Summary:
mass density: 6.1 g/cm³

a b c (Å): 8.4660 8.4660 8.4660
angles (deg): 112.55 109.28 106.64
Closest atoms and distances in Å follow each position.
Fractional positions:
Y 0.3250 0.6315 0.3066  3 Ni 2.74-2.90
Y 0.8170 0.7082 0.5251  3 Ni 2.93-3.23, 1 Tl 3.28
Y 0.4373 0.2326 0.2048  1 Ni 2.78, 1 Tl 3.09
Y 0.9722 0.7674 0.2048  1 Ni 2.78, 1 Tl 3.09
Y 0.8170 0.2918 0.1088  3 Ni 2.93-3.23, 1 Tl 3.28
Y 0.5627 0.7674 0.7952  1 Ni 2.78, 1 Tl 3.09
Y 0.6750 0.9816 0.3066  3 Ni 2.74-2.90
Y 0.1830 0.2918 0.4749  3 Ni 2.93-3.23, 1 Tl 3.28
Y 0.1830 0.7082 0.8912  3 Ni 2.93-3.23, 1 Tl 3.28
Y 0.6750 0.3685 0.6934  3 Ni 2.74-2.90
Y 0.0278 0.2326 0.7952  1 Ni 2.78, 1 Tl 3.09
Y 0.3250 0.0184 0.6934  3 Ni 2.74-2.90
Ni 0.6431 0.0000 0.6431  6 Y 2.78-2.90, 1 Ni 2.80
Ni 0.8777 0.3777 0.5000  1 Ni 2.47, 2 Y 2.74
Ni 0.3569 0.0000 0.3569  6 Y 2.78-2.90, 1 Ni 2.80
Ni 0.1223 0.6223 0.5000  1 Ni 2.47, 2 Y 2.74
Tl 0.5000 0.5000 0.0000  12 Y 3.37-3.67
Tl 0.0000 0.0000 0.0000  8 Y 3.09-3.28



no.,E (eV per atom),size of the total moment (μB per formula unit),V (Å³/cell)
1,-6.16,1.0,66.07
2,-4.93,4.0,77.52
3,-6.14,0.0,465.85